Entry 1:
# Sr3Cd (SCAN, single point on PBEsol structure)
# - Energy above the lowest structure with this stoichiometry: 57 meV/atom
data_Sr3Cd
_chemical_formula_sum 'Sr6 Cd2'
_symmetry_space_group_name_H-M 'I m m m'
_symmetry_Int_Tables_number 71
_symmetry_space_group_name_Hall '-I 2 2'
_cell_length_a 4.1713
_cell_length_b 6.2000
_cell_length_c 12.8195
_cell_angle_alpha 90.00
_cell_angle_beta 90.00
_cell_angle_gamma 90.00
loop_
_atom_site_label
_atom_site_type_symbol
_atom_site_fract_x
_atom_site_fract_y
_atom_site_fract_z
Sr1 Sr 0.0000 0.0000 0.0000
Sr2 Sr 0.0000 0.5000 0.2030
Cd1 Cd 0.0000 0.0000 0.5000

---

Entry 2:
A plane-wave DFT calculation with SCAN was carried out for SrCd11 at its PBEsol-relaxed geometry.

CIF file:
```
data_SrCd11
_chemical_formula_sum 'Sr4 Cd44'
_symmetry_space_group_name_H-M 'I 41/a m d'
_symmetry_Int_Tables_number 141
_cell_length_a 11.8410
_cell_length_b 11.8410
_cell_length_c 7.5979
_cell_angle_alpha 90.00
_cell_angle_beta 90.00
_cell_angle_gamma 90.00
loop_
_symmetry_equiv_pos_as_xyz
'x,y,z'
'-x,-y,-z'
'-y+1/4,x+3/4,z+1/4'
'y+1/4,-x+3/4,-z+1/4'
'-x+1/2,-y,z+1/2'
'x+1/2,y,-z+1/2'
'y+1/4,-x+1/4,z+3/4'
'-y+1/4,x+1/4,-z+3/4'
'x,-y,-z'
'-x,y,z'
'-y+1/4,-x+1/4,-z+3/4'
'y+1/4,x+1/4,z+3/4'
'-x+1/2,y,-z+1/2'
'x+1/2,-y,z+1/2'
'y+1/4,x+3/4,-z+1/4'
'-y+1/4,-x+3/4,z+1/4'
'x+1/2,y+1/2,z+1/2'
'-x+1/2,-y+1/2,-z+1/2'
'-y+3/4,x+1/4,z+3/4'
'y+3/4,-x+1/4,-z+3/4'
'-x,-y+1/2,z'
'x,y+1/2,-z'
'y+3/4,-x+3/4,z+1/4'
'-y+3/4,x+3/4,-z+1/4'
'x+1/2,-y+1/2,-z+1/2'
'-x+1/2,y+1/2,z+1/2'
'-y+3/4,-x+3/4,-z+1/4'
'y+3/4,x+3/4,z+1/4'
'-x,y+1/2,-z'
'x,-y+1/2,z'
'y+3/4,x+1/4,-z+3/4'
'-y+3/4,-x+1/4,z+3/4'
loop_
_atom_site_label
_atom_site_type_symbol
_atom_site_fract_x
_atom_site_fract_y
_atom_site_fract_z
Sr1 Sr 0.0000 0.2500 0.3750
Cd1 Cd 0.0000 0.0000 0.0000
Cd2 Cd 0.0000 0.2500 0.8750
Cd3 Cd 0.1207 0.0463 0.6743
```

---

Entry 3:
# Sr3Cd (SCAN, single point on PBEsol structure)
# - Energy above the lowest structure with this stoichiometry: 110 meV/atom
data_Sr3Cd
_chemical_formula_sum 'Sr3 Cd1'
_symmetry_space_group_name_H-M 'P -6 m 2'
_symmetry_Int_Tables_number 187
_symmetry_space_group_name_Hall 'P -6 2'
_cell_length_a 4.1832
_cell_length_b 4.1832
_cell_length_c 11.6192
_cell_angle_alpha 90.00
_cell_angle_beta 90.00
_cell_angle_gamma 120.00
loop_
_atom_site_label
_atom_site_type_symbol
_atom_site_fract_x
_atom_site_fract_y
_atom_site_fract_z
Sr1 Sr 0.0000 0.0000 0.0000
Sr2 Sr 0.3333 0.6667 0.3001
Cd1 Cd 0.0000 0.0000 0.5000

---

It is found that the M_tot values, taken in the order of the records, are 0.12, 0.00, 0.04 μB/atom.
It is found that the formation enthalpy at 0 K values, taken in the order of the records, are -146, -182, -93 meV per atom.